No. 1
Entry from Alexandria: an optimized crystal structure of FeOF (GGA+U).

Cell lengths 3.0250, 4.7871, 14.3435 Å; angles 90.72, 90.00, 90.00 degrees
Fractional coordinates of all 18 atoms:
Fe1 0.0000 0.9960 0.0033
Fe2 0.5000 0.4072 0.1767
Fe3 0.0000 0.0269 0.3498
Fe4 0.5000 0.5339 0.4880
Fe5 0.0000 0.0252 0.6737
Fe6 0.5000 0.5266 0.8052
O1 0.0000 0.2559 0.1002
O2 0.5000 0.1687 0.2776
O3 0.5000 0.8263 0.3999
O4 0.0000 0.3287 0.4474
O5 0.5000 0.8435 0.7298
O6 0.0000 0.3155 0.7642
F1 0.5000 0.7665 0.0527
F2 0.0000 0.6583 0.2187
F3 0.0000 0.7367 0.5738
F4 0.5000 0.2195 0.6102
F5 0.0000 0.6919 0.8963
F6 0.5000 0.1728 0.9326

Its crystal system is monoclinic. The total magnetization comes out at 21.98 μB per cell. The calculation puts the theoretical density at 4.36 g/cm3. Its space group is Pm. As for the total energy: -5.783 eV/atom.



No. 2
Entry from Alexandria: an optimized crystal structure of FeOF3 (GGA+U).

Cell lengths 3.8480, 3.8480, 3.8480 Å; angles 90.00, 90.00, 90.00 degrees
Fractional coordinates of all 5 atoms:
Fe1 0.5000 0.5000 0.5000
O1 0.0000 0.0000 0.0000
F1 0.0000 0.5000 0.0000
F2 0.0000 0.0000 0.5000
F3 0.5000 0.0000 0.0000

Its crystal system is cubic. The total magnetization comes out at 3.56 μB per cell. The calculation puts the theoretical density at 3.75 g/cm3. Its space group is Pm-3m. As for the total energy: -3.352 eV/atom.



No. 3
Entry from Alexandria: an optimized crystal structure of Fe3O2F2 (GGA+U).

Cell lengths 5.7068, 5.9367, 5.8551 Å; angles 90.00, 90.00, 116.53 degrees
Fractional coordinates of all 14 atoms:
Fe1 0.0000 0.0000 0.0000
Fe2 0.7219 0.3467 0.0557
Fe3 0.2781 0.6533 0.9443
Fe4 0.5000 0.0000 0.5000
Fe5 0.7781 0.6533 0.5557
Fe6 0.2219 0.3467 0.4443
O1 0.5714 0.3337 0.3696
O2 0.9286 0.6663 0.8696
O3 0.0714 0.3337 0.1304
O4 0.4286 0.6663 0.6304
F1 0.9111 0.1347 0.6557
F2 0.4111 0.1347 0.8443
F3 0.5889 0.8653 0.1557
F4 0.0889 0.8653 0.3443

Its crystal system is monoclinic. The total magnetization comes out at 24.00 μB per cell. The calculation puts the theoretical density at 4.44 g/cm3. Its space group is P2_1/c. As for the total energy: -6.153 eV/atom.